{"formula": "YCrP2O", "functional": "PBE with a Hubbard U", "state": "relaxed", "lattice": [[-0.160, -4.270, -2.323], [3.917, -1.490, 2.468], [-2.162, -1.345, 2.621]], "species": ["Y", "Cr", "O", "P", "P"], "fractional_positions": [[0.500, 0.500, 0.500], [0.000, 0.000, 0.000], [0.000, 0.000, 0.500], [0.000, 0.500, 0.000], [0.500, 0.000, 0.000]], "dft_energy_ev_per_atom": -6.587, "dos_ef_per_ev_cell": 3.34, "space_group": "P4/mmm"}